# 1
The following is a DFT calculation (PBE-GGA) of crystalline Pr2ZnNi4Sn3 at its relaxed geometry.

The value obtained for the total magnetization is 0.0 μB/cell. Its density of states at the Fermi level is 8.23 states/eV/cell. The value obtained for the total energy is -5.084 eV/atom. For the formation energy, the calculation gives -4.9 eV per formula unit. As for the space group: P-4m2. The calculated volume is 19.7 Å³ per atom.

```
10
Lattice="4.4431 0.0000 0.0000 0.0000 4.4431 0.0000 0.0000 0.0000 9.9697" Properties=species:S:1:pos:R:3 pbc="T T T"
Ni 2.2216 0.0000 6.1712
Ni 2.2216 2.2216 0.0000
Ni 0.0000 2.2216 3.7985
Ni 0.0000 0.0000 0.0000
Sn 0.0000 0.0000 4.9848
Sn 0.0000 2.2216 1.2879
Sn 2.2216 0.0000 8.6818
Zn 2.2216 2.2216 4.9848
Pr 0.0000 2.2216 7.5426
Pr 2.2216 0.0000 2.4270
```



# 2
The following is a DFT calculation (PBE-GGA) of crystalline Dy2HoMg at its relaxed geometry.

The value obtained for the total magnetization is 0.0 μB/cell. Its density of states at the Fermi level is 5.15 states/eV/cell. The value obtained for the total energy is -3.800 eV/atom. For the formation energy, the calculation gives 0.2 eV per formula unit. As for the space group: P4/mmm. The calculated volume is 29.3 Å³ per atom. The energy above the most stable polymorph in this dataset comes out at 0.074 eV per atom.

```
4
Lattice="3.9133 0.0000 0.0000 0.0000 5.4728 0.0000 0.0000 0.0000 5.4728" Properties=species:S:1:pos:R:3 pbc="T T T"
Mg 1.9566 0.0000 0.0000
Ho 1.9566 2.7364 2.7364
Dy 0.0000 2.7364 0.0000
Dy 0.0000 0.0000 2.7364
```



# 3
The following is a DFT calculation (PBE-GGA) of crystalline Si2IrSe at its relaxed geometry.

For the energy relative to the elements, uncorrected, the calculation gives 0.375 eV/atom. The value obtained for the total magnetization is 0.0 μB/cell. Its density of states at the Fermi level is 2.33 states/eV/cell. The value obtained for the total energy is -5.423 eV/atom. As for the space group: Cmm2. The calculated volume is 16.4 Å³ per atom.

```
4
Lattice="2.8594 -0.0262 0.0000 -1.4506 2.4642 0.0000 0.0000 0.0000 9.3780" Properties=species:S:1:pos:R:3 pbc="T T T"
Si 0.7044 1.2190 2.4855
Si 0.0000 0.0000 0.3402
Ir 0.0000 0.0000 4.4072
Se 0.7044 1.2190 6.8340
```



# 4
The following is a DFT calculation (PBE-GGA) of crystalline SrHfAs2S8 at its relaxed geometry.

For the energy relative to the elements, uncorrected, the calculation gives -0.637 eV/atom. The value obtained for the total magnetization is 0.0 μB/cell. The value obtained for the total energy is -5.133 eV/atom. As for the space group: P-3. The calculated volume is 24.2 Å³ per atom.

```
12
Lattice="-5.4359 2.1513 1.9613 0.4504 -2.6322 -5.5581 -1.8199 -7.8558 3.5728" Properties=species:S:1:pos:R:3 pbc="T T T"
Hf -0.9100 -3.9279 1.7864
S -0.3558 -4.2982 -2.6244
S -6.4497 -4.0384 2.6004
S -3.7826 -3.6818 -3.0147
S -4.6514 -5.6185 0.0421
S -3.4982 0.4513 -0.4972
S -2.1540 -2.7181 -0.0661
S -3.3072 -8.7880 0.4732
S -3.0228 -4.6548 2.9907
As -2.8683 -6.8936 -0.3884
As -3.9371 -1.4430 0.3644
Sr 0.0000 0.0000 0.0000
```



# 5
The following is a DFT calculation (PBE-GGA) of crystalline MgTlNi2 at its relaxed geometry.

The value obtained for the total magnetization is 0.0 μB/cell. Its density of states at the Fermi level is 3.68 states/eV/cell. The value obtained for the total energy is -3.798 eV/atom. For the formation energy, the calculation gives 0.3 eV per formula unit. As for the space group: Pm. The calculated volume is 16.5 Å³ per atom.

```
4
Lattice="-0.9949 1.3737 -3.6291 -3.2735 -0.0929 0.8622 -1.3478 4.5318 2.0848" Properties=species:S:1:pos:R:3 pbc="T T T"
Ni -1.9651 4.4289 2.2151
Ni -1.0370 1.8329 -1.2329
Tl -2.1252 1.9278 1.3123
Mg -4.1472 4.3742 0.5817
```



# 6
The following is a DFT calculation (PBE-GGA) of crystalline KLiF3 at its relaxed geometry.

For the energy relative to the elements, uncorrected, the calculation gives -2.274 eV/atom. The value obtained for the total magnetization is 0.0 μB/cell. Its density of states at the Fermi level is 0.00 states/eV/cell. The value obtained for the total energy is -3.999 eV/atom. As for the space group: C2/m. The calculated volume is 16.6 Å³ per atom. The energy above the most stable polymorph in this dataset comes out at 0.029 eV per atom.

```
10
Lattice="-8.9204 16.9291 0.0397 -4.4908 6.8967 -2.8960 1.5519 -8.4422 1.5620" Properties=species:S:1:pos:R:3 pbc="T T T"
F -6.1186 9.0799 -1.8393
F -4.9816 7.5630 -2.5868
F -0.5200 -3.6976 0.6296
F -11.3395 19.0812 -1.9240
F -6.8778 7.8206 1.2924
F -5.7409 6.3037 0.5449
Li -12.0675 20.7743 -2.2815
Li 0.2081 -5.3907 0.9871
K -1.8633 -1.5876 1.1446
K -9.9961 16.9712 -2.4389
```



# 7
The following is a DFT calculation (PBE-GGA) of crystalline Nd2In9Ni3 at its relaxed geometry.

The value obtained for the total magnetization is 0.0 μB/cell. Its density of states at the Fermi level is 12.51 states/eV/cell. The value obtained for the total energy is -3.946 eV/atom. For the formation energy, the calculation gives -3.7 eV per formula unit. As for the space group: C2/c. The calculated volume is 21.6 Å³ per atom.

```
28
Lattice="-6.3716 -5.1109 -0.8414 4.2196 0.2028 7.0413 -3.5645 10.6853 1.8055" Properties=species:S:1:pos:R:3 pbc="T T T"
In -4.5991 3.2329 1.9165
In -4.0044 4.7500 5.6947
In -0.0928 9.5782 8.5039
In -3.4605 7.7906 5.7682
In -1.1711 5.1579 4.4787
In 1.2581 -0.1901 4.7558
In -4.0860 1.7394 6.3213
In -1.6305 4.0378 1.6841
In -1.7121 1.0273 2.3106
In -4.5454 0.6193 3.5267
In -7.7537 3.4929 1.5920
In 2.0372 2.2843 6.4134
In -1.6295 5.9128 7.4396
In -2.2560 -2.0134 2.2372
In -6.9746 5.9674 3.2495
In -5.6238 -3.8010 -0.4985
In -4.0870 -0.1355 0.5657
In -1.1174 2.5443 6.0888
Nd -3.7488 6.3403 2.8178
Nd -1.9677 -0.5630 5.1876
Nd -6.5781 3.0399 4.6391
Nd 0.8616 2.7373 3.3662
Ni 0.6627 4.6575 6.6278
Ni 0.3362 -0.7841 2.2013
Ni -2.8583 2.8886 4.0027
Ni -3.1858 -2.5554 -0.4207
Ni -6.3792 1.1197 1.3775
Ni -6.0528 6.5614 5.8040
```



# 8
The following is a DFT calculation (PBE-GGA) of crystalline Bi3PbO at its relaxed geometry.

For the energy relative to the elements, uncorrected, the calculation gives 1.329 eV/atom. The value obtained for the total magnetization is 0.0 μB/cell. Its density of states at the Fermi level is 12.88 states/eV/cell. The value obtained for the total energy is -2.733 eV/atom. As for the space group: Pm-3m. The calculated volume is 41.4 Å³ per atom. The energy above the most stable polymorph in this dataset comes out at 1.480 eV per atom.

```
5
Lattice="-1.3621 -5.1932 2.4883 0.2364 -2.6052 -5.3078 5.7537 -1.1223 0.8071" Properties=species:S:1:pos:R:3 pbc="T T T"
Pb 0.0000 0.0000 0.0000
Bi 0.1182 -1.3026 -2.6539
Bi 2.8768 -0.5612 0.4036
Bi -0.6810 -2.5966 1.2441
O 2.3140 -4.4603 -1.0062
```



# 9
The following is a DFT calculation (PBE-GGA) of crystalline CsK3Rb4 at its relaxed geometry.

The value obtained for the total magnetization is 0.0 μB/cell. Its density of states at the Fermi level is 14.63 states/eV/cell. The value obtained for the total energy is -0.994 eV/atom. For the formation energy, the calculation gives 0.1 eV per formula unit. As for the space group: Pmn2_1. The calculated volume is 86.3 Å³ per atom.

```
16
Lattice="-3.8512 7.3416 1.7292 1.2118 -1.7059 9.9416 14.1605 7.5304 -0.4338" Properties=species:S:1:pos:R:3 pbc="T T T"
K 3.4451 10.7697 2.7112
K 1.1925 6.3311 2.2046
K 8.3551 10.1400 1.9851
K 11.1152 5.1347 8.6447
K -0.7974 2.0494 9.5477
K 4.1172 1.4134 8.8591
Cs 6.2779 5.8278 9.3978
Cs -3.6551 7.0387 2.8723
Rb 9.0407 9.3340 7.0548
Rb 0.7537 -1.0581 6.2355
Rb 5.6007 6.8110 4.3591
Rb -1.4363 2.9634 4.5566
Rb 3.5676 2.3463 3.7947
Rb 10.4072 5.9835 3.5852
Rb 1.7197 5.4408 7.2790
Rb 4.0260 9.9662 7.7283
```



# 10
The following is a DFT calculation (PBE-GGA) of crystalline PAu2Br at its relaxed geometry.

For the energy relative to the elements, uncorrected, the calculation gives 0.085 eV/atom. The value obtained for the total magnetization is 0.0 μB/cell. Its density of states at the Fermi level is 1.64 states/eV/cell. The value obtained for the total energy is -3.325 eV/atom. As for the space group: I-42d. The calculated volume is 25.9 Å³ per atom. The energy above the most stable polymorph in this dataset comes out at 0.000 eV per atom.

```
8
Lattice="-2.2512 -0.6929 5.8419 4.3765 -4.3771 1.1673 4.3249 1.1795 5.2023" Properties=species:S:1:pos:R:3 pbc="T T T"
Au 4.8031 -3.2515 9.9548
Au 3.3807 -2.5750 3.1611
Au 4.3408 -1.3169 6.6103
Au 0.3757 -0.6378 4.6970
P 4.8820 -2.8664 4.9371
P 1.0626 -2.5350 3.5046
Br 0.0000 0.0000 0.0000
Br 1.5681 -1.0242 7.2744
```



# 11
The following is a DFT calculation (PBE-GGA) of crystalline Dy6In3Tc at its relaxed geometry.

The value obtained for the total magnetization is 0.0 μB/cell. Its density of states at the Fermi level is 15.43 states/eV/cell. The value obtained for the total energy is -4.917 eV/atom. For the formation energy, the calculation gives -3.0 eV per formula unit. As for the space group: P2_1/m. The calculated volume is 26.4 Å³ per atom.

```
20
Lattice="-4.3376 0.4397 -2.9846 4.7209 -3.0901 -7.3164 -4.5428 -8.9950 5.2771" Properties=species:S:1:pos:R:3 pbc="T T T"
Dy -2.9477 -9.9691 -4.1998
Dy 0.7002 -2.0770 -3.6621
Dy -4.8598 -9.5683 -1.3618
Dy -3.2919 -3.6004 -2.7613
Dy -1.8513 -6.6575 -5.3054
Dy 0.3179 -3.7256 -8.0261
Dy -4.4775 -7.9198 3.0022
Dy -1.2119 -1.6762 -0.8241
Dy -2.3083 -4.9878 0.2815
Dy 1.4415 -5.4885 -5.2420
Dy -5.6011 -6.1569 0.2182
Dy -0.8677 -8.0449 -2.2626
Tc -4.8994 -3.3870 -0.3935
Tc 0.7399 -8.2583 -4.6304
In -0.3816 -4.9115 -2.5074
In -1.4291 -3.5137 -5.4558
In -1.8693 -11.0513 -1.2497
In -2.7305 -8.1317 0.4320
In -2.2902 -0.5941 -3.7741
In -3.7780 -6.7339 -2.5164
```